No. 1
Density functional theory data (GGA-PBE) for an optimized crystal structure of Y2Zn5Ru5.

Lattice parameters (Å, degrees): 4.209 5.185 9.304 90.00 90.00 90.00
Atoms (fractional coordinates):
Y1 0.000 0.000 0.000
Y2 0.000 0.500 0.500
Zn1 0.000 0.000 0.331
Zn2 0.000 0.000 0.669
Zn3 0.000 0.500 0.166
Zn4 0.000 0.500 0.834
Zn5 0.500 0.000 0.500
Ru1 0.500 0.245 0.250
Ru2 0.500 0.245 0.750
Ru3 0.500 0.500 0.000
Ru4 0.500 0.755 0.250
Ru5 0.500 0.755 0.750

Properties
The total moment is 0.00 μB/f.u. The calculation puts the energy of formation at -0.16 eV/atom.

No. 2
Density functional theory data (GGA-PBE) for an optimized crystal structure of Y6ZnRu5.

Lattice parameters (Å, degrees): 7.662 7.662 6.887 90.00 90.00 142.98
Atoms (fractional coordinates):
Y1 0.000 0.000 0.241
Y2 0.000 0.000 0.759
Y3 0.330 0.670 0.247
Y4 0.330 0.670 0.753
Y5 0.670 0.330 0.247
Y6 0.670 0.330 0.753
Zn1 0.500 0.500 0.500
Ru1 0.164 0.836 0.500
Ru2 0.166 0.834 0.000
Ru3 0.500 0.500 0.000
Ru4 0.834 0.166 0.000
Ru5 0.836 0.164 0.500

Properties
The total moment is 0.00 μB/f.u. The calculation puts the energy of formation at -0.33 eV/atom.